## YThCdCu (PBE)

Data for crystalline YThCdCu at its relaxed geometry.

abc: 5.218 5.218 5.218
angles: 60.00 60.00 60.00
Element x y z (fractional)
Y: 0.000 0.000 0.000
Th: 0.500 0.500 0.500
Cd: 0.250 0.250 0.250
Cu: 0.750 0.750 0.750

Output
- N(E_F) (states/eV/atom) = 0.932
- M_tot (μB per formula unit) = 0.79
- space group = F-43m, No. 216
- VASP energy (Ha/atom) = -0.17685
- energy of formation from the pure elements (eV per formula unit) = -0.35



## K2TaHg (PBE)

Data for crystalline K2TaHg at its relaxed geometry.

abc: 3.083 3.083 12.610
angles: 90.00 90.00 111.02
Element x y z (fractional)
K: 0.000 0.000 0.248
K: 0.000 0.000 0.752
Ta: 0.500 0.500 0.500
Hg: 0.500 0.500 0.000

Output
- N(E_F) (states/eV/atom) = 0.846
- M_tot (μB per formula unit) = 0.00
- space group = Cmmm, No. 65
- VASP energy (Ha/atom) = -0.10092
- energy of formation from the pure elements (eV per formula unit) = 3.36



## SmFe4Ge12 (PBE)

Data for crystalline SmFe4Ge12 at its relaxed geometry.

abc: 7.336 7.336 7.336
angles: 109.47 109.47 109.47
Element x y z (fractional)
Sm: 0.000 0.000 0.000
Fe: 0.000 0.000 0.500
Fe: 0.000 0.500 0.000
Fe: 0.500 0.000 0.000
Fe: 0.500 0.500 0.500
Ge: 0.167 0.341 0.508
Ge: 0.167 0.659 0.826
Ge: 0.174 0.833 0.341
Ge: 0.341 0.174 0.833
Ge: 0.341 0.508 0.167
Ge: 0.492 0.833 0.659
Ge: 0.508 0.167 0.341
Ge: 0.659 0.492 0.833
Ge: 0.659 0.826 0.167
Ge: 0.826 0.167 0.659
Ge: 0.833 0.341 0.174
Ge: 0.833 0.659 0.492

Output
- N(E_F) (states/eV/atom) = 0.995
- M_tot (μB per formula unit) = 4.71
- space group = Im-3, No. 204
- VASP energy (Ha/atom) = -0.20232
- energy of formation from the pure elements (eV per formula unit) = 0.39